This record from Alexandria describes crystalline MgFe8O8F8 at its relaxed geometry. The functional is PBE+U. Values from VASP.

Cell and atoms, written as Quantum ESPRESSO input:
```
&SYSTEM
  ibrav = 0, nat = 25, ntyp = 4
/
ATOMIC_SPECIES
Mg 24.30 Mg.upf
Fe 55.84 Fe.upf
O 16.00 O.upf
F 19.00 F.upf
CELL_PARAMETERS angstrom
-5.112 0.167 -0.631
0.448 -2.368 -4.617
-1.202 -10.672 4.842
ATOMIC_POSITIONS crystal
Mg 0.468 0.020 0.002
Fe 0.959 0.068 0.997
Fe 0.063 0.919 0.745
Fe 0.950 0.094 0.499
Fe 0.124 0.970 0.261
Fe 0.580 0.564 0.861
Fe 0.459 0.457 0.379
Fe 0.483 0.484 0.128
Fe 0.429 0.428 0.625
O 0.172 0.168 0.629
O 0.207 0.189 0.382
O 0.208 0.139 0.120
O 0.319 0.656 0.746
O 0.315 0.661 0.261
O 0.667 0.342 0.988
O 0.662 0.326 0.501
O 0.802 0.853 0.866
F 0.244 0.138 0.866
F 0.300 0.692 0.980
F 0.292 0.652 0.499
F 0.704 0.335 0.741
F 0.687 0.317 0.265
F 0.828 0.826 0.619
F 0.843 0.859 0.374
F 0.721 0.843 0.106
```

Properties
energy above the lowest structure with this stoichiometry: 28.3 meV per atom